## SnWI2N (PBE-GGA)

Data for a geometry-optimized SnWI2N structure.

Output
Mass density (g/cm³): 6.69
Crystal system: tetragonal
DOS at the Fermi energy (states/eV per cell): 3.25
Uncorrected formation energy (eV/atom): 1.640

Lattice parameters (Å, degrees): 6.077 6.077 3.835 90.00 90.00 90.00
Space group P4/mmm (No. 123)
One atom of each set of equivalent atoms:
Sn 0.000 0.000 0.000 [1 per cell]
W 0.500 0.500 0.500 [1 per cell]
I 0.000 0.500 0.000 [2 per cell]
N 0.000 0.000 0.500 [1 per cell]